A geometry-optimized OsF structure, computed with GGA-PBE.

The space group is Pm-3n (No. 223) and the conventional cell measures 6.510, 6.510 and 6.510 Å, with angles of 90.00, 90.00 and 90.00 degrees. Symmetry generates all atoms from Os at (0.000, 0.250, 0.500) and F at (0.000, 0.500, 0.250).

Its crystal system is cubic. Its energy relative to the lowest polymorph listed for this composition is 4.999 eV per formula unit. The value obtained for the electronic total energy is -4.65 eV/atom. The calculation puts the total magnetization at 1.8125 μB/atom. As for the energy relative to the elements, uncorrected: 1895.7 meV/atom.

A geometry-optimized OsF structure, computed with GGA-PBE.

The space group is Imm2 (No. 44) and the conventional cell measures 2.743, 12.852 and 6.445 Å, with angles of 90.00, 90.00 and 90.00 degrees. Symmetry generates all atoms from Os at (0.000, 0.000, 0.000), Os at (0.000, 0.400, 0.745), F at (0.000, 0.000, 0.702) and F at (0.000, 0.216, 0.347).

Its crystal system is orthorhombic. Its energy relative to the lowest polymorph listed for this composition is 0.452 eV per formula unit. The value obtained for the electronic total energy is -6.93 eV/atom. The calculation puts the total magnetization at 0.0000 μB/atom. As for the energy relative to the elements, uncorrected: -377.6 meV/atom.

A geometry-optimized OsF structure, computed with GGA-PBE.

The space group is P6_3/m (No. 176) and the conventional cell measures 9.3373, 9.3373 and 2.7266 Å, with angles of 90.00, 90.00 and 120.00 degrees. Symmetry generates all atoms from Os at (0.0076, 0.3999, 0.2500) and F at (0.1443, 0.2987, 0.7500).

Its crystal system is hexagonal. Its energy relative to the lowest polymorph listed for this composition is 1.227 eV per formula unit. The value obtained for the electronic total energy is -6.54 eV/atom. The calculation puts the total magnetization at 0.2184 μB/atom. As for the energy relative to the elements, uncorrected: 10.1 meV/atom.

A geometry-optimized OsF structure, computed with GGA-PBE.

The space group is I-43m (No. 217) and the conventional cell measures 8.155, 8.155 and 8.155 Å, with angles of 90.00, 90.00 and 90.00 degrees. Symmetry generates all atoms from Os at (0.106, 0.106, 0.894) and F at (0.243, 0.243, 0.757).

Its crystal system is cubic. Its energy relative to the lowest polymorph listed for this composition is 1.436 eV per formula unit. The value obtained for the electronic total energy is -6.44 eV/atom. The calculation puts the total magnetization at 1.0000 μB/atom. As for the energy relative to the elements, uncorrected: 114.7 meV/atom.

A geometry-optimized OsF structure, computed with GGA-PBE.

The space group is Fddd (No. 70, origin choice 2) and the conventional cell measures 6.109, 8.683 and 9.081 Å, with angles of 90.00, 90.00 and 90.00 degrees. Symmetry generates all atoms from Os at (0.125, 0.125, 0.002) and F at (0.125, 0.276, 0.625).

Its crystal system is orthorhombic. Its energy relative to the lowest polymorph listed for this composition is 1.297 eV per formula unit. The value obtained for the electronic total energy is -6.51 eV/atom. The calculation puts the total magnetization at 0.0000 μB/atom. As for the energy relative to the elements, uncorrected: 45.0 meV/atom.

A geometry-optimized OsF5 structure, computed with GGA-PBE.

The space group is P2_1/c (No. 14) and the conventional cell measures 5.726, 10.307 and 12.988 Å, with angles of 90.00, 100.44 and 90.00 degrees. Symmetry generates all atoms from Os at (0.002, 0.248, 0.497), Os at (0.301, 0.000, 0.198), F at (0.028, 0.569, 0.740), F at (0.091, 0.153, 0.136), F at (0.095, 0.669, 0.132), F at (0.189, 0.110, 0.554), F at (0.199, 0.592, 0.557), F at (0.262, 0.169, 0.952), F at (0.264, 0.684, 0.953), F at (0.383, 0.093, 0.322), F at (0.446, 0.574, 0.357) and F at (0.480, 0.644, 0.748).

Its crystal system is monoclinic. Its energy relative to the lowest polymorph listed for this composition is 0.000 eV per formula unit. The value obtained for the electronic total energy is -5.12 eV/atom. The calculation puts the total magnetization at 0.5000 μB/atom. As for the energy relative to the elements, uncorrected: -1692.5 meV/atom.

> Which value of energy relative to the elements, uncorrected does entry 2 give?

-377.6 meV/atom

> Which of these has the highest total magnetization?

number 1